# 1
DFT (PBE) results for an optimized crystal structure of RbIn2Te4Au.

a b c (Å): 6.678 6.678 14.595
angles (deg): 90.00 90.00 90.00
Space group I-42m (No. 121)
Symmetry-distinct sites (fractional):
Rb 0.000 0.000 0.000
In 0.000 0.500 0.250
Te 0.210 0.210 0.361
Au 0.000 0.000 0.500

Formation energy (no corrections) in eV/atom: -0.336
Crystal system: tetragonal
Calculated volume in Å³ per cell: 650.8

=====

# 2
DFT (PBE) results for an optimized crystal structure of LuScNiRu.

a b c (Å): 6.512 6.512 6.512
angles (deg): 90.00 90.00 90.00
Space group F-43m (No. 216)
Symmetry-distinct sites (fractional):
Lu 0.000 0.000 0.000
Sc 0.000 0.000 0.500
Ni 0.250 0.250 0.250
Ru 0.250 0.250 0.750

Crystal system: cubic
Formation energy from the elements in kcal/mol of atoms: -12.4
Calculated volume in Å³ per cell: 276.1

=====

# 3
DFT (PBE) results for an optimized crystal structure of K5Si2As5.

a b c (Å): 16.018 3.692 11.828
angles (deg): 90.00 103.78 90.00
Space group C2/m (No. 12)
Symmetry-distinct sites (fractional):
K 0.000 0.000 0.000
K 0.168 0.000 0.595
K 0.210 0.500 0.122
Si 0.024 0.500 0.303
As 0.000 0.500 0.500
As 0.110 0.500 0.835
As 0.117 0.000 0.292

Formation energy (no corrections) in eV/atom: -0.277
Crystal system: monoclinic
Calculated volume in Å³ per cell: 679.5

=====

# 4
DFT (PBE) results for an optimized crystal structure of LaPRuCl2.

a b c (Å): 4.784 4.784 4.681
angles (deg): 90.00 90.00 90.00
Space group P4/mmm (No. 123)
Symmetry-distinct sites (fractional):
La 0.000 0.000 0.000
P 0.500 0.500 0.000
Ru 0.500 0.500 0.500
Cl 0.000 0.500 0.500

Formation energy (no corrections) in eV/atom: -0.650
Crystal system: tetragonal
Calculated volume in Å³ per cell: 107.2